Entry from the Alexandria database: a relaxed MgZrBe2Pt crystal (PBE-GGA).

Structure (extended XYZ):
```
5
Lattice="4.6791 0.0000 0.0000 0.0000 5.0056 0.0000 0.0000 0.0000 4.6791" Properties=species:S:1:pos:R:3 pbc="T T T"
Zr 0.0000 0.0000 0.0000
Be 0.0000 0.0000 2.3395
Be 2.3395 0.0000 0.0000
Pt 0.0000 2.5028 0.0000
Mg 2.3395 2.5028 2.3395
```

## Properties
Crystal system: tetragonal
Symmetry: P4/mmm, No. 123
Theoretical density in g/cm3: 4.980
ΔE_f in eV/atom: 1.02
E in eV for the cell shown: -18.530

Entry from the Alexandria database: a relaxed PuMgBe crystal (PBE-GGA).

Structure (extended XYZ):
```
6
Lattice="5.1491 -0.0690 0.0000 -2.5265 4.4872 0.0000 -1.3113 -2.2091 4.9299" Properties=species:S:1:pos:R:3 pbc="T T T"
Be 2.5746 -0.0345 2.4650
Be -1.2632 2.2436 2.4650
Pu 0.0053 2.9843 0.0000
Pu 2.6173 1.4338 0.0000
Mg 1.3113 2.2091 3.3182
Mg 0.0000 0.0000 1.6117
```

## Properties
Crystal system: orthorhombic
Symmetry: Fmmm, No. 69
Theoretical density in g/cm3: 8.147
ΔE_f in eV/atom: 0.21
E in eV for the cell shown: -38.028

Entry from the Alexandria database: a relaxed PuMg2BeSi2 crystal (PBE-GGA).

Structure (extended XYZ):
```
6
Lattice="4.1958 0.0000 0.0000 0.0000 4.1958 0.0000 -2.0979 -2.0979 7.3308" Properties=species:S:1:pos:R:3 pbc="T T T"
Si 2.0979 2.0979 5.3126
Si 0.0000 0.0000 2.0182
Mg 2.0979 0.0000 3.6654
Mg 0.0000 2.0979 3.6654
Be 0.0000 0.0000 0.0000
Pu 2.0979 2.0979 0.0000
```

## Properties
Formation energy from raw total energies in eV per atom: 0.1545
Crystal system: tetragonal
Symmetry: I4/mmm, No. 139
Theoretical density in g/cm3: 4.604
E in eV for the cell shown: -31.166